(1)
Here is a relaxed structure of Gd3MgGa2Pt2Au from OQMD. Energies are from PBE-GGA.

a = 3.9463 Å, b = 7.4456 Å, c = 7.4456 Å
α = 119.69°, β = 90.00°, γ = 90.00°
Last column: nearest neighbours and their distance in Å.
Sites, in units of the cell vectors:
1 Gd 0.0000 0.0000 0.0000  4 Pt 3.01, 1 Au 3.01, 2 Mg 3.25, 4 Ga 3.29
2 Gd 0.0000 0.3939 0.8148  4 Pt 2.95-3.02, 1 Au 3.10, 2 Ga 3.12
3 Gd 0.0000 0.8148 0.3939  4 Pt 2.95-3.02, 1 Au 3.10, 2 Ga 3.12
4 Mg 0.5000 0.6549 0.6549  2 Au 2.73, 2 Pt 2.83
5 Ga 0.5000 0.1430 0.4022  2 Au 2.76, 2 Pt 2.79-2.82
6 Ga 0.5000 0.4022 0.1430  2 Au 2.76, 2 Pt 2.79-2.82
7 Pt 0.5000 0.0678 0.7336  2 Ga 2.79-2.82, 1 Mg 2.83, 6 Gd 2.95-3.02
8 Pt 0.5000 0.7336 0.0678  2 Ga 2.79-2.82, 1 Mg 2.83, 6 Gd 2.95-3.02
9 Au 0.0000 0.4029 0.4029  2 Mg 2.73, 4 Ga 2.76, 1 Gd 3.01

Output
- Crystal system: orthorhombic

(2)
Here is a relaxed structure of CsNdTh from OQMD. Energies are from PBE-GGA.

a = 5.8123 Å, b = 5.8123 Å, c = 5.8123 Å
α = 60.00°, β = 60.00°, γ = 60.00°
Last column: nearest neighbours and their distance in Å.
Sites, in units of the cell vectors:
1 Cs 0.0000 0.0000 0.0000  4 Nd 3.56
2 Nd 0.7500 0.7500 0.7500  4 Cs 3.56, 4 Th 3.56
3 Th 0.5000 0.5000 0.5000  4 Nd 3.56

Output
- Crystal system: cubic

(3)
Here is a relaxed structure of ReGe2 from OQMD. Energies are from PBE-GGA.

a = 4.8450 Å, b = 4.8450 Å, c = 7.5782 Å
α = 116.40°, β = 116.40°, γ = 38.66°
Last column: nearest neighbours and their distance in Å.
Sites, in units of the cell vectors:
1 Re 0.1501 0.1501 0.1896  8 Ge 2.57-2.66
2 Re 0.8499 0.8499 0.8104  8 Ge 2.57-2.66
3 Ge 0.1488 0.1488 0.5391  3 Ge 2.50-2.72, 3 Re 2.57-2.65
4 Ge 0.4005 0.4005 0.1148  5 Re 2.61-2.66
5 Ge 0.5995 0.5995 0.8852  5 Re 2.61-2.66
6 Ge 0.8512 0.8512 0.4609  3 Ge 2.50-2.72, 3 Re 2.57-2.65

Output
- Crystal system: monoclinic

(4)
Here is a relaxed structure of SbIr7 from OQMD. Energies are from PBE-GGA.

a = 2.7808 Å, b = 3.8413 Å, c = 30.3740 Å
α = 90.00°, β = 90.00°, γ = 90.00°
Last column: nearest neighbours and their distance in Å.
Sites, in units of the cell vectors:
1 Sb 0.2500 0.2500 0.1575  2 Sb 2.78, 5 Ir 2.82-2.94
2 Sb 0.7500 0.7500 0.8425  2 Sb 2.78, 5 Ir 2.82-2.94
3 Ir 0.2500 0.2500 0.2543  11 Ir 2.71-2.78, 1 Sb 2.94
4 Ir 0.2500 0.2500 0.3434  12 Ir 2.71-2.78
5 Ir 0.2500 0.2500 0.4326  12 Ir 2.71-2.78
6 Ir 0.2500 0.2500 0.5225  12 Ir 2.71-2.78
7 Ir 0.2500 0.2500 0.6118  12 Ir 2.71-2.78
8 Ir 0.2500 0.2500 0.7017  12 Ir 2.72-2.78
9 Ir 0.2500 0.2500 0.7922  7 Ir 2.75-2.78, 4 Sb 2.82
10 Ir 0.7500 0.7500 0.2078  7 Ir 2.75-2.78, 4 Sb 2.82
11 Ir 0.7500 0.7500 0.2983  12 Ir 2.72-2.78
12 Ir 0.7500 0.7500 0.3882  12 Ir 2.71-2.78
13 Ir 0.7500 0.7500 0.4775  12 Ir 2.71-2.78
14 Ir 0.7500 0.7500 0.5674  12 Ir 2.71-2.78
15 Ir 0.7500 0.7500 0.6566  12 Ir 2.71-2.78
16 Ir 0.7500 0.7500 0.7457  11 Ir 2.71-2.78, 1 Sb 2.94

Output
- Crystal system: orthorhombic

(5)
Here is a relaxed structure of TlCuTcSe3 from OQMD. Energies are from PBE-GGA.

a = 7.7152 Å, b = 7.7152 Å, c = 9.7945 Å
α = 90.00°, β = 90.00°, γ = 152.39°
Last column: nearest neighbours and their distance in Å.
Sites, in units of the cell vectors:
1 Tl 0.2448 0.7552 0.7500  8 Se 3.35-3.49, 2 Cu 3.61, 2 Tl 3.68
2 Tl 0.7552 0.2448 0.2500  8 Se 3.35-3.49, 2 Cu 3.61, 2 Tl 3.68
3 Cu 0.4622 0.5378 0.2500  4 Se 2.40-2.41
4 Cu 0.5378 0.4622 0.7500  4 Se 2.40-2.41
5 Tc 0.0000 0.0000 0.0000  6 Se 2.59-2.64
6 Tc 0.0000 0.0000 0.5000  6 Se 2.59-2.64
7 Se 0.0665 0.9335 0.2500  2 Cu 2.41, 2 Tc 2.64
8 Se 0.3808 0.6192 0.0390  1 Cu 2.40, 2 Tc 2.59
9 Se 0.3808 0.6192 0.4610  1 Cu 2.40, 2 Tc 2.59
10 Se 0.6192 0.3808 0.5390  1 Cu 2.40, 2 Tc 2.59
11 Se 0.6192 0.3808 0.9610  1 Cu 2.40, 2 Tc 2.59
12 Se 0.9335 0.0665 0.7500  2 Cu 2.41, 2 Tc 2.64

Output
- Crystal system: orthorhombic

(6)
Here is a relaxed structure of HoZnGa from OQMD. Energies are from PBE-GGA.

a = 4.4961 Å, b = 4.4961 Å, c = 4.4961 Å
α = 60.00°, β = 60.00°, γ = 60.00°
Last column: nearest neighbours and their distance in Å.
Sites, in units of the cell vectors:
1 Ho 0.0000 0.0000 0.0000  4 Zn 2.75
2 Zn 0.7500 0.7500 0.7500  4 Ho 2.75, 4 Ga 2.75
3 Ga 0.5000 0.5000 0.5000  4 Zn 2.75

Output
- Crystal system: cubic

no.,final energy (eV/atom),spin magnetization (μB per formula unit)
1,-5.045,0.02
2,-2.922,2.21
3,-7.212,0.00
4,-8.198,0.00
5,-4.681,2.32
6,-3.366,0.00